First-principles (PBE-GGA) data for a geometry-optimized Ti2NiW structure, as listed in Alexandria via LeMat-Bulk.

Computed properties:
* size of the total moment: 0.0 μB/f.u.
* symmetry: No. 71
* formation enthalpy at 0 K: 384 meV/atom

a b c (Å): 5.646 5.646 5.646
angles (deg): 57.14 152.71 130.83
Fractional coordinates of all 4 atoms:
W: 0.000 0.500 0.500
Ni: 0.000 0.000 0.000
Ti: 0.000 0.234 0.234
Ti: 0.000 0.766 0.766



First-principles (PBE-GGA) data for a geometry-optimized TiNi3W structure, as listed in Alexandria via LeMat-Bulk.

Computed properties:
* size of the total moment: 0.0 μB/f.u.
* symmetry: No. 221
* formation enthalpy at 0 K: 1157 meV/atom
* energy above the lowest structure with this stoichiometry: 0.0 meV/atom

a b c (Å): 4.198 4.198 4.198
angles (deg): 90.00 90.00 90.00
Fractional coordinates of all 5 atoms:
Ni: 0.500 0.000 0.000
Ni: 0.000 0.000 0.500
Ni: 0.000 0.500 0.000
Ti: 0.000 0.000 0.000
W: 0.500 0.500 0.500